[1]
Crystalline YAs3Ir at its relaxed geometry, computed with PBE.

Unit cell a=4.8864 b=4.8864 c=4.8864 alpha=90.00 beta=90.00 gamma=90.00
Sites, in units of the cell vectors:
Y (0.5000, 0.5000, 0.5000)
As (0.0000, 0.5000, 0.0000)
As (0.0000, 0.0000, 0.5000)
As (0.5000, 0.0000, 0.0000)
Ir (0.0000, 0.0000, 0.0000)

Output
Its crystal system is cubic. Its energy relative to the lowest polymorph listed for this composition is 0 meV/atom. For the energy relative to the elements, the calculation gives 0.081 eV per atom. Its space group is Pm-3m, No. 221. The size of the total moment is 0.0 μB/f.u.

---

[2]
Crystalline BaYOs2 at its relaxed geometry, computed with PBE.

Unit cell a=4.2824 b=4.6048 c=6.2889 alpha=68.52 beta=90.00 gamma=90.00
Sites, in units of the cell vectors:
Ba (0.5000, 0.7799, 0.8150)
Os (0.0000, 0.1519, 0.0717)
Os (0.5000, 0.0630, 0.2487)
Y (0.0000, 0.5052, 0.3646)

Output
Its crystal system is orthorhombic. Its energy relative to the lowest polymorph listed for this composition is 119 meV/atom. For the energy relative to the elements, the calculation gives 0.224 eV per atom. Its space group is Amm2, No. 38. The size of the total moment is 0.0 μB/f.u.

---

[3]
Crystalline LiHo8Tl2 at its relaxed geometry, computed with PBE.

Unit cell a=5.2307 b=6.8858 c=9.2603 alpha=99.75 beta=106.41 gamma=90.00
Sites, in units of the cell vectors:
Li (0.5000, 0.0000, 0.0000)
Ho (0.4090, 0.5510, 0.8179)
Ho (0.6571, 0.9448, 0.3142)
Ho (0.8163, 0.7316, 0.6327)
Ho (0.9738, 0.2423, 0.9476)
Ho (0.1837, 0.2684, 0.3673)
Ho (0.3429, 0.0552, 0.6858)
Ho (0.5910, 0.4490, 0.1821)
Ho (0.0262, 0.7577, 0.0524)
Tl (0.7966, 0.2767, 0.5932)
Tl (0.2034, 0.7233, 0.4068)

Output
Its crystal system is monoclinic. For the energy relative to the elements, the calculation gives -0.070 eV per atom. Its space group is C2/m, No. 12. The size of the total moment is 0.0 μB/f.u.

---

[4]
Crystalline Cs3PrTl2O6 at its relaxed geometry, computed with PBE.

Unit cell a=6.7898 b=6.7898 c=8.0215 alpha=90.00 beta=90.00 gamma=120.00
Sites, in units of the cell vectors:
Cs (0.3333, 0.6667, 0.7550)
Cs (0.6667, 0.3333, 0.2450)
Cs (0.0000, 0.0000, 0.0000)
Pr (0.0000, 0.0000, 0.5000)
Tl (0.6667, 0.3333, 0.6937)
Tl (0.3333, 0.6667, 0.3063)
O (0.6883, 0.8442, 0.3044)
O (0.1558, 0.3117, 0.3044)
O (0.1558, 0.8442, 0.3044)
O (0.8442, 0.6883, 0.6956)
O (0.3117, 0.1558, 0.6956)
O (0.8442, 0.1558, 0.6956)

Output
Its crystal system is trigonal. The value obtained for the formation energy (no corrections) is -1.38 eV per atom. Its space group is P-3m1, No. 164. The size of the total moment is 0.0 μB/f.u.

---

[5]
Crystalline CsGaBi3 at its relaxed geometry, computed with PBE.

Unit cell a=5.7363 b=5.7363 c=5.7363 alpha=90.00 beta=90.00 gamma=90.00
Sites, in units of the cell vectors:
Cs (0.5000, 0.5000, 0.5000)
Bi (0.0000, 0.5000, 0.0000)
Bi (0.0000, 0.0000, 0.5000)
Bi (0.5000, 0.0000, 0.0000)
Ga (0.0000, 0.0000, 0.0000)

Output
Its crystal system is cubic. Its energy relative to the lowest polymorph listed for this composition is 252 meV/atom. For the energy relative to the elements, the calculation gives 0.137 eV per atom. Its space group is Pm-3m, No. 221. The size of the total moment is 0.0 μB/f.u.

---

[6]
Crystalline RbScSe2 at its relaxed geometry, computed with PBE.

Unit cell a=7.7559 b=13.1003 c=4.8191 alpha=90.00 beta=90.00 gamma=90.00
Sites, in units of the cell vectors:
Sc (0.0655, 0.3827, 0.0624)
Sc (0.9345, 0.6173, 0.5624)
Sc (0.4345, 0.8827, 0.5624)
Sc (0.5655, 0.1173, 0.0624)
Se (0.3396, 0.9568, 0.0624)
Se (0.6604, 0.0432, 0.5624)
Se (0.1604, 0.4568, 0.5624)
Se (0.8396, 0.5432, 0.0624)
Se (0.1551, 0.7605, 0.5625)
Se (0.8449, 0.2395, 0.0625)
Se (0.3449, 0.2605, 0.0625)
Se (0.6551, 0.7395, 0.5625)
Rb (0.8956, 0.8707, 0.0625)
Rb (0.1044, 0.1293, 0.5625)
Rb (0.6044, 0.3707, 0.5625)
Rb (0.3956, 0.6293, 0.0625)

Output
Its crystal system is orthorhombic. The value obtained for the formation energy (no corrections) is -1.52 eV per atom. Its space group is Pnma, No. 62. The size of the total moment is 0.0 μB/f.u.

---

[7]
Crystalline LaPm2Hg2 at its relaxed geometry, computed with PBE.

Unit cell a=3.8519 b=5.5334 c=14.1667 alpha=90.00 beta=97.85 gamma=90.00
Site moments in Bohr magnetons follow the coordinates.
Sites, in units of the cell vectors:
La (0.8538, 0.7500, 0.7103)  0.04
La (0.1462, 0.2500, 0.2897)  0.04
Pm (0.0484, 0.7500, 0.0962)  0.13
Pm (0.9516, 0.2500, 0.9038)  0.13
Pm (0.2355, 0.7500, 0.4726)  0.00
Pm (0.7645, 0.2500, 0.5274)  0.00
Hg (0.6445, 0.7500, 0.2888)  0.01
Hg (0.3555, 0.2500, 0.7112)  0.01
Hg (0.4542, 0.7500, 0.9089)  0.01
Hg (0.5458, 0.2500, 0.0911)  0.01

Output
Its crystal system is monoclinic. Its energy relative to the lowest polymorph listed for this composition is 0 meV/atom. For the energy relative to the elements, the calculation gives -0.384 eV per atom. Its space group is P2_1/m, No. 11. The size of the total moment is 0.4 μB/f.u.

---

[8]
Crystalline FeTeP3 at its relaxed geometry, computed with PBE.

Unit cell a=4.4334 b=4.4334 c=4.4334 alpha=90.00 beta=90.00 gamma=90.00
Sites, in units of the cell vectors:
P (0.0000, 0.5000, 0.0000)
P (0.0000, 0.0000, 0.5000)
P (0.5000, 0.0000, 0.0000)
Te (0.5000, 0.5000, 0.5000)
Fe (0.0000, 0.0000, 0.0000)

Output
Its crystal system is cubic. Its energy relative to the lowest polymorph listed for this composition is 0 meV/atom. The value obtained for the formation energy (no corrections) is 0.46 eV per atom. Its space group is Pm-3m, No. 221. The size of the total moment is 0.0 μB/f.u.

---

[9]
Crystalline TcS at its relaxed geometry, computed with PBE.

Unit cell a=3.0129 b=3.0129 c=9.1099 alpha=90.00 beta=90.00 gamma=120.00
Sites, in units of the cell vectors:
S (0.3333, 0.6667, 0.7101)
S (0.6667, 0.3333, 0.2898)
Tc (0.3333, 0.6667, 0.1184)
Tc (0.6667, 0.3333, 0.8816)

Output
Its crystal system is trigonal. Its energy relative to the lowest polymorph listed for this composition is 0 meV/atom. The value obtained for the formation energy (no corrections) is -0.39 eV per atom. Its space group is P-3m1, No. 164. The size of the total moment is 0.0 μB/f.u.

---

[10]
Crystalline Na2Sr7Ca3 at its relaxed geometry, computed with PBE.

Unit cell a=4.1794 b=6.7622 c=22.0855 alpha=98.81 beta=90.00 gamma=90.00
Sites, in units of the cell vectors:
Na (0.0000, 0.8260, 0.6519)
Na (0.0000, 0.1740, 0.3481)
Sr (0.0000, 0.4279, 0.8558)
Sr (0.0000, 0.7261, 0.4522)
Sr (0.0000, 0.0000, 0.0000)
Sr (0.0000, 0.5721, 0.1442)
Sr (0.5000, 0.0906, 0.1813)
Sr (0.5000, 0.9094, 0.8187)
Sr (0.0000, 0.2739, 0.5478)
Ca (0.5000, 0.5000, 0.0000)
Ca (0.5000, 0.6484, 0.2967)
Ca (0.5000, 0.3516, 0.7033)

Output
Its crystal system is orthorhombic. For the energy relative to the elements, the calculation gives 0.122 eV per atom. Its space group is Cmmm, No. 65. The size of the total moment is 0.0 μB/f.u.

---

[11]
Crystalline VOsCl2 at its relaxed geometry, computed with PBE.

Unit cell a=4.1380 b=4.1380 c=8.1446 alpha=75.28 beta=75.28 gamma=90.00
Site moments in Bohr magnetons follow the coordinates.
Sites, in units of the cell vectors:
V (0.5000, 0.5000, 0.0000)  1.55
V (0.2500, 0.7500, 0.5000)  1.55
Os (0.0000, 0.0000, 0.0000)  -0.53
Os (0.7500, 0.2500, 0.5000)  -0.53
Cl (0.6246, 0.1250, 0.2500)  -0.05
Cl (0.1254, 0.6250, 0.2500)  -0.05
Cl (0.3750, 0.3754, 0.7500)  -0.05
Cl (0.8750, 0.8746, 0.7500)  -0.05

Output
Its crystal system is tetragonal. Its energy relative to the lowest polymorph listed for this composition is 329 meV/atom. The value obtained for the formation energy (no corrections) is 0.51 eV per atom. Its space group is I-42d, No. 122. The size of the total moment is 1.1 μB/f.u.

---

[12]
Crystalline TlTe2Au at its relaxed geometry, computed with PBE.

Unit cell a=9.9285 b=9.9285 c=9.9285 alpha=23.51 beta=23.51 gamma=23.51
Sites, in units of the cell vectors:
Tl (0.0000, 0.0000, 0.0000)
Te (0.8874, 0.8874, 0.8874)
Te (0.1126, 0.1126, 0.1126)
Au (0.5000, 0.5000, 0.5000)

Output
Its crystal system is trigonal. The value obtained for the formation energy (no corrections) is 0.08 eV per atom. Its space group is R-3m, No. 166. The size of the total moment is 0.0 μB/f.u.

---

[13]
Crystalline ZrTlCl2 at its relaxed geometry, computed with PBE.

Unit cell a=6.2975 b=6.2975 c=6.3110 alpha=59.53 beta=59.53 gamma=30.18
Sites, in units of the cell vectors:
Tl (0.5609, 0.5609, 0.5087)
Zr (0.2927, 0.2927, 0.0366)
Cl (0.9169, 0.9169, 0.1515)
Cl (0.7295, 0.7295, 0.8032)

Output
Its crystal system is monoclinic. Its energy relative to the lowest polymorph listed for this composition is 131 meV/atom. The value obtained for the formation energy (no corrections) is -0.95 eV per atom. Its space group is Cm, No. 8. The size of the total moment is 0.0 μB/f.u.

---

[14]
Crystalline KGaSi at its relaxed geometry, computed with PBE.

Unit cell a=8.0672 b=6.0163 c=6.0163 alpha=140.95 beta=120.44 gamma=59.56
Sites, in units of the cell vectors:
K (0.0593, 0.1249, 0.8751)
K (0.3474, 0.2661, 0.7339)
Si (0.8731, 0.9164, 0.0836)
Si (0.7571, 0.5628, 0.4372)
Ga (0.6584, 0.8132, 0.1868)
Ga (0.5189, 0.4797, 0.5203)

Output
Its crystal system is monoclinic. The value obtained for the formation energy (no corrections) is -0.03 eV per atom. Its space group is Cm, No. 8. The size of the total moment is 0.0 μB/f.u.

---

[15]
Crystalline Tl12As5Br3 at its relaxed geometry, computed with PBE.

Unit cell a=15.7399 b=15.7399 c=15.7399 alpha=109.47 beta=109.47 gamma=109.47
Sites, in units of the cell vectors:
Br (0.7500, 0.3750, 0.1250)
Br (0.8750, 0.7500, 0.1250)
Br (0.3750, 0.7500, 0.6250)
Br (0.2500, 0.1250, 0.3750)
Br (0.8750, 0.1250, 0.2500)
Br (0.3750, 0.6250, 0.2500)
Br (0.6250, 0.3750, 0.7500)
Br (0.1250, 0.8750, 0.7500)
Br (0.7500, 0.8750, 0.6250)
Br (0.6250, 0.2500, 0.3750)
Br (0.1250, 0.2500, 0.8750)
Br (0.2500, 0.6250, 0.8750)
As (0.1250, 0.3750, 0.2500)
As (0.0000, 0.5000, 0.0000)
As (0.0000, 0.0000, 0.0000)
As (0.3750, 0.2500, 0.1250)
As (0.5000, 0.0000, 0.5000)
As (0.5000, 0.5000, 0.0000)
As (0.1250, 0.7500, 0.3750)
As (0.7500, 0.1250, 0.8750)
As (0.7500, 0.6250, 0.3750)
As (0.3750, 0.1250, 0.7500)
As (0.6250, 0.8750, 0.2500)
As (0.5000, 0.5000, 0.5000)
As (0.5000, 0.0000, 0.0000)
As (0.0000, 0.0000, 0.5000)
As (0.2500, 0.3750, 0.6250)
As (0.2500, 0.8750, 0.1250)
As (0.0000, 0.5000, 0.5000)
As (0.8750, 0.2500, 0.6250)
As (0.6250, 0.7500, 0.8750)
As (0.8750, 0.6250, 0.7500)
Tl (0.7142, 0.1353, 0.0438)
Tl (0.3296, 0.5438, 0.4084)
Tl (0.9562, 0.3647, 0.2858)
Tl (0.5438, 0.2142, 0.1353)
Tl (0.5789, 0.7142, 0.6704)
Tl (0.9562, 0.5916, 0.1704)
Tl (0.3296, 0.7858, 0.4211)
Tl (0.0916, 0.9211, 0.1353)
Tl (0.5916, 0.9562, 0.6704)
Tl (0.7142, 0.5789, 0.1704)
Tl (0.7858, 0.4562, 0.3647)
Tl (0.8296, 0.9084, 0.0438)
Tl (0.1353, 0.7142, 0.5438)
Tl (0.3647, 0.4084, 0.0789)
Tl (0.0789, 0.9084, 0.3647)
Tl (0.4211, 0.1353, 0.5916)
Tl (0.0789, 0.1704, 0.2142)
Tl (0.4562, 0.6704, 0.0916)
Tl (0.8296, 0.9211, 0.2858)
Tl (0.1353, 0.4211, 0.0916)
Tl (0.3647, 0.9562, 0.7858)
Tl (0.5916, 0.6353, 0.4211)
Tl (0.9084, 0.8296, 0.5438)
Tl (0.7858, 0.3296, 0.9211)
Tl (0.4084, 0.3647, 0.5789)
Tl (0.0916, 0.1704, 0.4562)
Tl (0.2142, 0.6704, 0.0789)
Tl (0.1704, 0.0789, 0.7142)
Tl (0.6353, 0.0438, 0.2142)
Tl (0.8647, 0.5789, 0.9084)
Tl (0.5438, 0.3296, 0.9084)
Tl (0.5789, 0.8647, 0.4084)
Tl (0.9211, 0.8296, 0.7858)
Tl (0.9211, 0.0916, 0.6353)
Tl (0.8647, 0.2858, 0.4562)
Tl (0.1704, 0.0916, 0.9562)
Tl (0.6353, 0.5916, 0.9211)
Tl (0.4084, 0.0438, 0.3296)
Tl (0.2858, 0.4211, 0.8296)
Tl (0.2142, 0.5438, 0.6353)
Tl (0.9084, 0.0789, 0.8647)
Tl (0.6704, 0.2142, 0.5789)
Tl (0.4562, 0.7858, 0.8647)
Tl (0.0438, 0.4084, 0.8296)
Tl (0.4211, 0.2858, 0.3296)
Tl (0.0438, 0.6353, 0.7142)
Tl (0.6704, 0.4562, 0.5916)
Tl (0.2858, 0.8647, 0.9562)

Output
Its crystal system is cubic. The value obtained for the formation energy (no corrections) is -0.02 eV per atom. Its space group is Ia-3d, No. 230. The size of the total moment is 0.0 μB/f.u.

---

[16]
Crystalline Sr2Al4CdIn3 at its relaxed geometry, computed with PBE.

Unit cell a=4.6339 b=4.6339 c=11.8039 alpha=90.00 beta=90.00 gamma=90.00
Sites, in units of the cell vectors:
Sr (0.5000, 0.0000, 0.2516)
Sr (0.0000, 0.5000, 0.7484)
Al (0.5000, 0.5000, 0.0000)
Al (0.0000, 0.0000, 0.0000)
Al (0.5000, 0.0000, 0.6354)
Al (0.0000, 0.5000, 0.3646)
Cd (0.5000, 0.5000, 0.5000)
In (0.0000, 0.0000, 0.5000)
In (0.5000, 0.0000, 0.8636)
In (0.0000, 0.5000, 0.1364)

Output
Its crystal system is tetragonal. For the energy relative to the elements, the calculation gives -0.217 eV per atom. Its space group is P-4m2, No. 115. The size of the total moment is 0.0 μB/f.u.

---

[17]
Crystalline NbV3C2 at its relaxed geometry, computed with PBE.

Unit cell a=5.7523 b=5.7523 c=5.7523 alpha=108.48 beta=103.96 gamma=116.21
Sites, in units of the cell vectors:
Nb (0.5372, 0.2500, 0.7872)
Nb (0.4628, 0.7500, 0.2128)
V (0.0529, 0.7500, 0.8029)
V (0.9471, 0.2500, 0.1971)
V (0.5000, 0.2994, 0.2994)
V (0.0000, 0.7994, 0.2994)
V (0.0000, 0.2006, 0.7006)
V (0.5000, 0.7006, 0.7006)
C (0.2306, 0.2500, 0.4806)
C (0.0000, 0.5000, 0.0000)
C (0.5000, 0.0000, 0.0000)
C (0.7694, 0.7500, 0.5194)

Output
Its crystal system is orthorhombic. For the energy relative to the elements, the calculation gives -0.398 eV per atom. Its space group is Imma, No. 74. The size of the total moment is 0.0 μB/f.u.

---

[18]
Crystalline TbPrAs at its relaxed geometry, computed with PBE.

Unit cell a=3.8126 b=3.8126 c=6.3222 alpha=107.55 beta=107.55 gamma=90.00
Site moments in Bohr magnetons follow the coordinates.
Sites, in units of the cell vectors:
Pr (0.9688, 0.9688, 0.9376)  0.20
As (0.6308, 0.6308, 0.2616)  0.00
Tb (0.2504, 0.2504, 0.5008)  0.28

Output
Its crystal system is tetragonal. For the energy relative to the elements, the calculation gives -0.715 eV per atom. Its space group is I4mm, No. 107. The size of the total moment is 0.9 μB/f.u.

---

[19]
Crystalline MnPt2Se at its relaxed geometry, computed with PBE.

Unit cell a=4.5033 b=4.5033 c=4.5033 alpha=60.00 beta=60.00 gamma=60.00
Site moments in Bohr magnetons follow the coordinates.
Sites, in units of the cell vectors:
Mn (0.5000, 0.5000, 0.5000)  3.58
Pt (0.0000, 0.0000, 0.0000)  -0.06
Pt (0.7500, 0.7500, 0.7500)  0.00
Se (0.2500, 0.2500, 0.2500)  -0.12

Output
Its crystal system is cubic. The value obtained for the formation energy (no corrections) is 0.08 eV per atom. Its space group is F-43m, No. 216. The size of the total moment is 3.5 μB/f.u.

---

[20]
Crystalline Y2MnBPb at its relaxed geometry, computed with PBE.

Unit cell a=5.0968 b=5.0968 c=4.2066 alpha=90.00 beta=90.00 gamma=90.00
Site moments in Bohr magnetons follow the coordinates.
Sites, in units of the cell vectors:
Pb (0.5000, 0.5000, 0.5000)  0.00
Y (0.0000, 0.5000, 0.0000)  -0.05
Y (0.5000, 0.0000, 0.0000)  -0.05
B (0.0000, 0.0000, 0.0000)  -0.14
Mn (0.0000, 0.0000, 0.5000)  3.25

Output
Its crystal system is tetragonal. For the energy relative to the elements, the calculation gives -0.240 eV per atom. Its space group is P4/mmm, No. 123. The size of the total moment is 3.2 μB/f.u.